Material: WS2NO
Method: DFT, GGA+U
State: relaxed

Values from the calculation:
Polymorph energy (0 for the lowest one) ... 0.00 eV/f.u.
Volume ... 17.6 Å³/atom
Magnetization ... 0.71 μB per formula unit

Cell lengths 4.7650, 4.7650, 3.8716 Å; angles 90.00, 90.00, 90.00 degrees
Closest atoms and distances in Å follow each position.
Positions (direct):
W  0.0000  0.0000  0.0000  2 N 1.94
S  0.0000  0.5000  0.0000  2 W 2.38
S  0.5000  0.0000  0.0000  2 W 2.38
N  0.0000  0.0000  0.5000  2 W 1.94
O  0.5000  0.5000  0.5000  8 S 3.07, 4 N 3.37